# Ac2Mg6InHg

A relaxed Ac2Mg6InHg crystal (PBE, Alexandria via LeMat-Bulk).

Cell and atoms, written as POSCAR:
```
Ac2Mg6InHg
1.0
-5.828 5.299 -1.439
-5.035 -5.417 0.444
-0.919 1.660 9.839
Hg Mg In Ac
2 12 2 4
Direct
0.000 0.953 0.000 Hg
0.500 0.047 0.500 Hg
0.187 0.606 0.000 Mg
0.000 0.775 0.249 Mg
0.324 0.038 0.000 Mg
0.687 0.394 0.500 Mg
0.176 0.962 0.500 Mg
0.313 0.394 0.500 Mg
0.000 0.775 0.751 Mg
0.824 0.962 0.500 Mg
0.500 0.225 0.251 Mg
0.676 0.038 0.000 Mg
0.813 0.606 0.000 Mg
0.500 0.225 0.749 Mg
0.000 0.582 0.500 In
0.500 0.418 0.000 In
0.000 0.273 0.236 Ac
0.500 0.727 0.736 Ac
0.500 0.727 0.264 Ac
0.000 0.273 0.764 Ac
```

Properties
- DOS(E_F) (states/eV/atom) = 0.87
- electronic total energy (eV per cell) = -43.15
- size of the total moment (μB per cell) = 0.00
- energy of formation (meV/atom) = -75